# AgAs2Pt | Alexandria | GGA-PBE | relaxed
data_AgAs2Pt
_cell_length_a 3.0307
_cell_length_b 4.7313
_cell_length_c 10.0865
_cell_angle_alpha 90.00
_cell_angle_beta 90.00
_cell_angle_gamma 90.00
_symmetry_space_group_name_H-M 'P 1'
_symmetry_Int_Tables_number 1
loop_
_symmetry_equiv_pos_as_xyz
'x,y,z'
loop_
_atom_site_label
_atom_site_type_symbol
_atom_site_fract_x
_atom_site_fract_y
_atom_site_fract_z
Ag1 Ag 0.0000 0.0000 0.0000
Ag2 Ag 0.5000 0.5000 0.5000
As1 As 0.0000 0.0000 0.5408
As2 As 0.0000 0.5000 0.7621
As3 As 0.5000 0.0000 0.2621
As4 As 0.5000 0.5000 0.0408
Pt1 Pt 0.0000 0.5000 0.2495
Pt2 Pt 0.5000 0.0000 0.7495
# Size of the total moment, μB per formula unit: 0.0
# ΔE to the lowest computed polymorph, meV per atom: 175
# Total DFT energy (no corrections), Ha/atom: -0.1628
# Formation energy, meV per atom: 117